No. 1
Here is ZrNiSbRu after structural relaxation from Alexandria. Energies are from PBE.

Values from the calculation:
ΔE_f (raw): -358 meV/atom
M_tot: 0.0 μB/cell

a = 6.4368 Å, b = 6.4368 Å, c = 6.4368 Å
α = 90.00°, β = 90.00°, γ = 90.00°
Closest atoms and distances in Å follow each position.
Space group F-43m (No. 216)
Asymmetric unit:
Zr: 0.0000 0.0000 0.0000 x4  4 Ru 2.79, 4 Ni 2.79
Ni: 0.2500 0.2500 0.7500 x4  4 Zr 2.79, 4 Sb 2.79
Sb: 0.0000 0.0000 0.5000 x4  4 Ni 2.79, 4 Ru 2.79
Ru: 0.2500 0.2500 0.2500 x4  4 Sb 2.79, 4 Zr 2.79

No. 2
Here is SnBiRh after structural relaxation from Alexandria. Energies are from PBE.

Values from the calculation:
M_tot: 0.0 μB/cell
total DFT energy (no corrections): -15.162 eV for the cell shown

a = 4.5827 Å, b = 4.5827 Å, c = 3.9185 Å
α = 90.00°, β = 90.00°, γ = 120.00°
Closest atoms and distances in Å follow each position.
Space group P3m1 (No. 156)
Asymmetric unit:
Sn: 0.0000 0.0000 0.0000 x1  3 Rh 2.65
Bi: 0.6667 0.3333 0.5011 x1  6 Rh 3.28-3.30, 6 Sn 3.29
Rh: 0.3333 0.6667 0.9970 x1  3 Sn 2.65

No. 3
Here is LaPmS2 after structural relaxation from Alexandria. Energies are from PBE.

Values from the calculation:
ΔE_f (raw): -2031 meV/atom
M_tot: 0.0 μB/cell

a = 4.0154 Å, b = 4.0154 Å, c = 21.1880 Å
α = 90.00°, β = 90.00°, γ = 120.00°
Closest atoms and distances in Å follow each position.
Space group R3m (No. 160, hexagonal axes)
Asymmetric unit:
La: 0.0000 0.0000 0.0000 x3  6 S 2.89-3.03
Pm: 0.0000 0.0000 0.8225 x3  6 S 2.80-2.94
S: 0.0000 0.0000 0.2410 x3  3 Pm 2.94, 3 La 3.03
S: 0.0000 0.0000 0.4150 x3  3 Pm 2.80, 3 La 2.89

No. 4
Here is VZn2Au2 after structural relaxation from Alexandria. Energies are from PBE.

Values from the calculation:
M_tot: 6.5 μB/cell
total DFT energy (no corrections): -35.705 eV for the cell shown

a = 7.5459 Å, b = 7.5459 Å, c = 2.9814 Å
α = 90.00°, β = 90.00°, γ = 90.00°
Closest atoms and distances in Å follow each position.
Space group P4/mbm (No. 127)
Asymmetric unit:
V: 0.0000 0.0000 0.0000 x2  4 Au 2.92, 2 V 2.98, 8 Zn 3.20
Zn: 0.1606 0.3394 0.5000 x4  6 Au 2.60-2.72
Au: 0.1397 0.6397 0.0000 x4  6 Zn 2.60-2.72

No. 5
Here is PSe after structural relaxation from Alexandria. Energies are from PBE.

Values from the calculation:
ΔE_f (raw): 223 meV/atom
M_tot: 0.0 μB/cell

a = 11.1780 Å, b = 3.2128 Å, c = 6.7354 Å
α = 90.00°, β = 104.35°, γ = 90.00°
Closest atoms and distances in Å follow each position.
Space group C2/m (No. 12)
Asymmetric unit:
P: 0.1754 0.0000 0.0496 x4  2 Se 2.30, 2 P 2.52
Se: 0.1411 0.5000 0.2731 x4  2 P 2.30

No. 6
Here is Rb2Hg7Au after structural relaxation from Alexandria. Energies are from PBE.

Values from the calculation:
M_tot: 0.0 μB/cell
total DFT energy (no corrections): -9.135 eV for the cell shown

a = 5.1574 Å, b = 5.1574 Å, c = 12.2090 Å
α = 90.00°, β = 90.00°, γ = 90.00°
Closest atoms and distances in Å follow each position.
Space group P-4m2 (No. 115)
Asymmetric unit:
Rb: 0.0000 0.5000 0.2340 x2  14 Hg 3.85-4.15, 2 Au 3.85
Hg: 0.0000 0.0000 0.0000 x1  4 Hg 2.96
Hg: 0.0000 0.0000 0.5000 x1  4 Hg 3.08
Hg: 0.0000 0.5000 0.6381 x2  5 Hg 2.96-3.08
Hg: 0.0000 0.5000 0.8808 x2  3 Hg 2.96, 2 Au 2.96
Hg: 0.5000 0.5000 0.5000 x1  4 Hg 3.08
Au: 0.5000 0.5000 0.0000 x1  4 Hg 2.96

No. 7
Here is ZrMnRh2 after structural relaxation from Alexandria. Energies are from PBE.

Values from the calculation:
M_tot: 14.4 μB/cell
total DFT energy (no corrections): -99.059 eV for the cell shown

a = 3.0091 Å, b = 3.0091 Å, c = 25.3387 Å
α = 90.00°, β = 90.00°, γ = 120.00°
Closest atoms and distances in Å follow each position.
Space group R-3m (No. 166, hexagonal axes)
Asymmetric unit:
Zr: 0.0000 0.0000 0.0000 x3  6 Rh 2.79, 6 Zr 3.01
Mn: 0.0000 0.0000 0.5000 x3  6 Rh 2.68
Rh: 0.0000 0.0000 0.2474 x6  3 Mn 2.68, 3 Zr 2.79

No. 8
Here is La2PRh after structural relaxation from Alexandria. Energies are from PBE.

Values from the calculation:
M_tot: 0.0 μB/cell
total DFT energy (no corrections): -26.226 eV for the cell shown

a = 3.6197 Å, b = 3.6197 Å, c = 7.2210 Å
α = 90.00°, β = 90.00°, γ = 90.00°
Closest atoms and distances in Å follow each position.
Space group P4/mmm (No. 123)
Asymmetric unit:
La: 0.0000 0.0000 0.2439 x2  4 P 3.11, 4 Rh 3.16
P: 0.5000 0.5000 0.0000 x1  8 La 3.11
Rh: 0.5000 0.5000 0.5000 x1  8 La 3.16

No. 9
Here is CsZrSe2 after structural relaxation from Alexandria. Energies are from PBE.

Values from the calculation:
ΔE_f (raw): -1093 meV/atom
M_tot: 4.0 μB/cell

a = 8.0331 Å, b = 8.0331 Å, c = 9.6286 Å
α = 90.00°, β = 90.00°, γ = 90.00°
Closest atoms and distances in Å follow each position.
Space group I-42d (No. 122)
Asymmetric unit:
Cs: 0.0000 0.0000 0.0000 x4  4 Se 3.71
Zr: 0.0000 0.0000 0.5000 x4  4 Se 2.60
Se: 0.1415 0.7500 0.6250 x8  2 Zr 2.60

No. 10
Here is AcLaAg after structural relaxation from Alexandria. Energies are from PBE.

Values from the calculation:
M_tot: 0.0 μB/cell
total DFT energy (no corrections): -11.958 eV for the cell shown

a = 5.2978 Å, b = 5.2978 Å, c = 4.0114 Å
α = 90.00°, β = 90.00°, γ = 120.00°
Closest atoms and distances in Å follow each position.
Space group P3m1 (No. 156)
Asymmetric unit:
Ac: 0.0000 0.0000 0.0000 x1  3 Ag 3.35, 3 La 3.49
La: 0.6667 0.3333 0.4170 x1  3 Ag 3.21, 3 Ac 3.49
Ag: 0.3333 0.6667 0.6614 x1  3 La 3.21, 3 Ac 3.35

No. 11
Here is V2FeGe after structural relaxation from Alexandria. Energies are from PBE.

Values from the calculation:
M_tot: 3.4 μB/cell
total DFT energy (no corrections): -64.604 eV for the cell shown

a = 5.1454 Å, b = 4.2275 Å, c = 5.1850 Å
α = 90.00°, β = 114.33°, γ = 90.00°
Closest atoms and distances in Å follow each position.
Space group P2_1/m (No. 11)
Asymmetric unit:
V: 0.1407 0.2500 0.3737 x2  3 Fe 2.41-2.54, 4 V 2.53-2.66, 1 Ge 2.69
V: 0.1535 0.2500 0.8660 x2  4 V 2.53-2.66, 4 Ge 2.55-2.61, 3 Fe 2.72-2.76
Fe: 0.3387 0.7500 0.6567 x2  3 V 2.41-2.54, 4 Ge 2.55-2.63
Ge: 0.3556 0.7500 0.1713 x2  7 V 2.55-2.78, 4 Fe 2.55-2.63

No. 12
Here is La2YTi2 after structural relaxation from Alexandria. Energies are from PBE.

Values from the calculation:
M_tot: 0.2 μB/cell
total DFT energy (no corrections): -61.070 eV for the cell shown

a = 8.9915 Å, b = 8.9915 Å, c = 3.4220 Å
α = 90.00°, β = 90.00°, γ = 90.00°
Closest atoms and distances in Å follow each position.
Space group P4/mbm (No. 127)
Asymmetric unit:
La: 0.1820 0.3180 0.0000 x4  6 Ti 3.13-3.21, 2 La 3.42
Y: 0.0000 0.0000 0.5000 x2  2 Y 3.42, 4 Ti 3.63, 8 La 3.71
Ti: 0.1120 0.6120 0.5000 x4  1 Ti 2.85, 2 La 3.13

No. 13
Here is Pr4Sm3Zn4 after structural relaxation from Alexandria. Energies are from PBE.

Values from the calculation:
M_tot: 0.0 μB/cell
total DFT energy (no corrections): -78.710 eV for the cell shown

a = 4.7470 Å, b = 8.2012 Å, c = 16.1799 Å
α = 90.00°, β = 90.00°, γ = 90.00°
Closest atoms and distances in Å follow each position.
Space group Immm (No. 71)
Asymmetric unit:
Pr: 0.0000 0.1996 0.1631 x8  4 Zn 2.90-3.06
Sm: 0.0000 0.0000 0.3879 x4  6 Zn 3.24-3.53, 4 Pr 3.52, 1 Sm 3.63
Sm: 0.0000 0.5000 0.5000 x2  6 Zn 3.67-3.70, 8 Pr 3.91
Zn: 0.0000 0.3456 0.0000 x4  1 Zn 2.53
Zn: 0.0000 0.5000 0.2733 x4  6 Pr 3.04-3.06

No. 14
Here is Mn6Br7 after structural relaxation from Alexandria. Energies are from PBE.

Values from the calculation:
ΔE_f (raw): 145 meV/atom
M_tot: 87.0 μB/cell

a = 7.1288 Å, b = 7.1288 Å, c = 31.0275 Å
α = 90.00°, β = 90.00°, γ = 120.00°
Closest atoms and distances in Å follow each position.
Space group R-3m (No. 166, hexagonal axes)
Asymmetric unit:
Mn: 0.0000 0.0000 0.1418 x6  1 Mn 2.64
Mn: 0.0000 0.0000 0.2268 x6  3 Br 2.58, 1 Mn 2.64
Mn: 0.0000 0.0000 0.3298 x6  6 Br 2.66-2.77
Br: 0.0000 0.0000 0.5000 x3  6 Br 3.97, 6 Mn 4.19
Br: 0.0033 0.5017 0.0570 x18  3 Mn 2.58-2.77

No. 15
Here is TbPr2ThBi5 after structural relaxation from Alexandria. Energies are from PBE.

Values from the calculation:
M_tot: 0.0 μB/cell
total DFT energy (no corrections): -40.820 eV for the cell shown

a = 5.7506 Å, b = 5.7506 Å, c = 11.9519 Å
α = 90.00°, β = 90.00°, γ = 90.00°
Closest atoms and distances in Å follow each position.
Space group P4/mmm (No. 123)
Asymmetric unit:
Tb: 0.0000 0.0000 0.0000 x1  2 Bi 2.90
Pr: 0.5000 0.5000 0.2799 x2  1 Bi 3.35
Th: 0.0000 0.0000 0.5000 x1  6 Bi 2.88-3.07
Bi: 0.0000 0.0000 0.2428 x2  1 Tb 2.90, 1 Th 3.07
Bi: 0.0000 0.5000 0.5000 x2  2 Th 2.88
Bi: 0.5000 0.5000 0.0000 x1  2 Pr 3.35

No. 16
Here is Pa2TaGa3 after structural relaxation from Alexandria. Energies are from PBE.

Values from the calculation:
M_tot: 0.0 μB/cell
total DFT energy (no corrections): -82.628 eV for the cell shown

a = 5.7001 Å, b = 5.7001 Å, c = 8.4588 Å
α = 90.00°, β = 90.00°, γ = 120.00°
Closest atoms and distances in Å follow each position.
Space group P6_3/mmc (No. 194)
Asymmetric unit:
Pa: 0.3333 0.6667 0.0811 x4  1 Pa 2.86, 9 Ga 3.19-3.20
Ta: 0.0000 0.0000 0.0000 x2  6 Ga 2.74
Ga: 0.1769 0.3537 0.7500 x6  2 Ga 2.68, 2 Ta 2.74

No. 17
Here is TbY12Sc7 after structural relaxation from Alexandria. Energies are from PBE.

Values from the calculation:
M_tot: 0.0 μB/cell
total DFT energy (no corrections): -363.415 eV for the cell shown

a = 16.1857 Å, b = 16.1857 Å, c = 8.0344 Å
α = 90.00°, β = 90.00°, γ = 120.00°
Closest atoms and distances in Å follow each position.
Space group R-3m (No. 166, hexagonal axes)
Asymmetric unit:
Tb: 0.0000 0.0000 0.0000 x3  8 Sc 3.72-4.02, 6 Y 4.03
Y: 0.0000 0.2823 0.0000 x18  2 Y 3.04, 4 Sc 3.22-3.30
Y: 0.1101 0.2203 0.3219 x18  4 Sc 3.12-3.40, 1 Y 3.17
Sc: 0.0000 0.0000 0.5000 x3  6 Y 3.40, 6 Sc 3.63
Sc: 0.1099 0.2198 0.7400 x18  7 Y 3.12-3.36

No. 18
Here is PmPt4Rh2 after structural relaxation from Alexandria. Energies are from PBE.

Values from the calculation:
M_tot: 0.0 μB/cell
total DFT energy (no corrections): -94.135 eV for the cell shown

a = 6.7666 Å, b = 6.7666 Å, c = 5.2969 Å
α = 90.00°, β = 90.00°, γ = 90.00°
Closest atoms and distances in Å follow each position.
Space group I4/mmm (No. 139)
Asymmetric unit:
Pm: 0.0000 0.0000 0.0000 x2  4 Pt 2.88
Pt: 0.1986 0.1986 0.5000 x8  4 Pt 2.69-2.83, 4 Rh 2.78, 1 Pm 2.88
Rh: 0.0000 0.5000 0.2500 x4  2 Rh 2.65, 8 Pt 2.78

No. 19
Here is Li2NdThTe4 after structural relaxation from Alexandria. Energies are from PBE.

Values from the calculation:
ΔE_f (raw): -1192 meV/atom
M_tot: 0.0 μB/cell

a = 7.6009 Å, b = 4.3808 Å, c = 7.6061 Å
α = 90.00°, β = 109.30°, γ = 90.00°
Closest atoms and distances in Å follow each position.
Space group P2/m (No. 10)
Asymmetric unit:
Li: 0.0000 0.0000 0.0000 x1  6 Te 3.04-3.05
Li: 0.5000 0.5000 0.0000 x1  6 Te 3.02-3.03
Nd: 0.0000 0.5000 0.5000 x1  6 Te 3.18-3.19
Th: 0.5000 0.0000 0.5000 x1  6 Te 3.15-3.17
Te: 0.2461 0.5000 0.2323 x2  3 Li 3.02-3.04, 2 Th 3.17, 1 Nd 3.19
Te: 0.2582 0.0000 0.7666 x2  3 Li 3.03-3.05, 1 Th 3.15, 2 Nd 3.18